Record 1
First-principles (PBE-GGA) data for crystalline K2OsAu at its relaxed geometry, as listed in Alexandria via LeMat-Bulk.

Output
Total energy = -3.227 eV/atom
Magnetic moment = 0.00 μB per formula unit
Formation energy = 21.9 kcal/mol of atoms
Offset from the most stable computed form = 1.03 eV per formula unit

Cell lengths 5.813, 5.813, 5.530 Å; angles 84.91, 84.91, 27.44 degrees
Sites, in units of the cell vectors:
1 Au 0.750 0.750 0.750
2 K 0.000 0.000 0.001
3 K 0.500 0.500 0.499
4 Os 0.250 0.250 0.250


Record 2
First-principles (PBE-GGA) data for crystalline Pm4H2N at its relaxed geometry, as listed in Alexandria via LeMat-Bulk.

Output
Total energy = -5.347 eV/atom
Magnetic moment = 0.00 μB per formula unit

Cell lengths 4.940, 4.940, 6.771 Å; angles 111.40, 111.40, 90.00 degrees
Sites, in units of the cell vectors:
1 H 0.582 0.582 0.164
2 H 0.418 0.418 0.836
3 N 0.000 0.000 0.000
4 Pm 0.780 0.780 0.560
5 Pm 0.220 0.220 0.440
6 Pm 0.000 0.500 0.000
7 Pm 0.500 0.000 0.000


Please write out number 1 again, unchanged.
First-principles (PBE-GGA) data for crystalline K2OsAu at its relaxed geometry, as listed in Alexandria via LeMat-Bulk.

Output
Total energy = -3.227 eV/atom
Magnetic moment = 0.00 μB per formula unit
Formation energy = 21.9 kcal/mol of atoms
Offset from the most stable computed form = 1.03 eV per formula unit

Cell lengths 5.813, 5.813, 5.530 Å; angles 84.91, 84.91, 27.44 degrees
Sites, in units of the cell vectors:
1 Au 0.750 0.750 0.750
2 K 0.000 0.000 0.001
3 K 0.500 0.500 0.499
4 Os 0.250 0.250 0.250


What is the magnetic moment in the second record? 0.00 μB per formula unit


Number 1 is which compound? K2OsAu